Below is an optimized crystal structure of Fe2AgSe, with properties calculated at the GGA-PBE level.

a = 5.0034 Å, b = 5.0034 Å, c = 5.0034 Å
α = 141.33°, β = 127.24°, γ = 67.30°
Positions (direct):
Fe  0.2284  0.2284  0.0000
Fe  0.7716  0.7716  0.0000
Ag  0.5000  0.0000  0.5000
Se  0.0000  0.5000  0.5000


Below is an optimized crystal structure of Fe2AgSe, with properties calculated at the GGA-PBE level.

a = 4.9693 Å, b = 4.9693 Å, c = 4.9693 Å
α = 134.37°, β = 134.37°, γ = 66.51°
Positions (direct):
Fe  0.0000  0.0000  0.0000
Fe  0.7500  0.2500  0.5000
Ag  0.5000  0.5000  0.0000
Se  0.2500  0.7500  0.5000


Below is an optimized crystal structure of Fe2AgSe, with properties calculated at the GGA-PBE level.

a = 3.0638 Å, b = 3.0638 Å, c = 6.7681 Å
α = 90.00°, β = 90.00°, γ = 90.00°
Positions (direct):
Fe  0.0000  0.0000  0.0000
Fe  0.5000  0.5000  0.1884
Ag  0.5000  0.5000  0.7458
Se  0.0000  0.0000  0.3796


Below is an optimized crystal structure of FeSi2AgSe, with properties calculated at the GGA-PBE level.

a = 4.7380 Å, b = 4.7380 Å, c = 5.2456 Å
α = 90.00°, β = 90.00°, γ = 90.00°
Positions (direct):
Fe  0.0000  0.0000  0.0000
Si  0.0000  0.5000  0.5000
Si  0.5000  0.0000  0.5000
Ag  0.5000  0.5000  0.5000
Se  0.5000  0.5000  0.0000


Below is an optimized crystal structure of U3FeAg3Se8, with properties calculated at the GGA-PBE level.

a = 8.0743 Å, b = 8.0743 Å, c = 8.0695 Å
α = 119.60°, β = 119.60°, γ = 60.41°
Positions (direct):
U  0.0000  0.0000  0.0000
U  0.0000  0.5000  0.5000
U  0.5000  0.0000  0.5000
Fe  0.5000  0.5000  0.0000
Ag  0.0000  0.5000  0.0000
Ag  0.5000  0.0000  0.0000
Ag  0.5000  0.5000  0.5000
Se  0.2499  0.2499  0.2497
Se  0.2607  0.7357  0.7642
Se  0.2643  0.7393  0.2358
Se  0.2648  0.2648  0.7622
Se  0.7352  0.7352  0.2378
Se  0.7357  0.2607  0.7642
Se  0.7393  0.2643  0.2358
Se  0.7501  0.7501  0.7503


Below is an optimized crystal structure of Fe2SiAg, with properties calculated at the GGA-PBE level.

a = 4.5754 Å, b = 4.5754 Å, c = 4.5754 Å
α = 131.09°, β = 131.09°, γ = 71.68°
Positions (direct):
Fe  0.0000  0.0000  0.0000
Fe  0.7500  0.2500  0.5000
Si  0.2500  0.7500  0.5000
Ag  0.5000  0.5000  0.0000


Number 1: uncorrected formation energy 0.404 eV/atom, Fermi-level density of states 3.3 states/eV per cell. Number 2: uncorrected formation energy 0.434 eV/atom, Fermi-level density of states 4.5 states/eV per cell. Number 3: uncorrected formation energy 0.196 eV/atom, Fermi-level density of states 3.3 states/eV per cell. Number 4: uncorrected formation energy 1.315 eV/atom, Fermi-level density of states 6.3 states/eV per cell. Number 5: uncorrected formation energy -0.600 eV/atom, Fermi-level density of states 18.6 states/eV per cell. Number 6: uncorrected formation energy 0.205 eV/atom, Fermi-level density of states 3.4 states/eV per cell.